# TcICl3 PBE optimized geometry
data_TcICl3
_cell_length_a 7.7835
_cell_length_b 16.5818
_cell_length_c 6.1790
_cell_angle_alpha 90.00
_cell_angle_beta 118.75
_cell_angle_gamma 90.00
_space_group_name_H-M_alt 'C 1 c 1'
_space_group_IT_number 9
loop_
_space_group_symop_operation_xyz
'x,y,z'
'x,-y,z+1/2'
'x+1/2,y+1/2,z'
'x+1/2,-y+1/2,z+1/2'
loop_
_atom_site_label
_atom_site_type_symbol
_atom_site_fract_x
_atom_site_fract_y
_atom_site_fract_z
Tc1 Tc 0.0000 0.0622 0.0000
I1 I 0.2625 0.3282 0.5043
Cl1 Cl 0.1946 0.0508 0.4393
Cl2 Cl 0.2124 0.1526 0.9827
Cl3 Cl 0.3052 0.4530 0.0585
# - Polymorph energy (0 for the lowest one): 0.000 eV/f.u.
# - Electronic total energy: -0.2944 Ry per atom
# - Formation energy without anion corrections: -515 meV/atom